An optimized crystal structure of Y6Te3Pb2Se, computed with PBE.

Calculated total energy, eV/atom: -6.092
Formation energy (no corrections), eV/atom: -1.166

abc: 19.022 4.360 8.748
angles: 90.00 103.58 90.00
Space group C2/m (No. 12)
Unique sites:
Y (0.002, 0.000, 0.232)
Y (0.159, 0.500, 0.084)
Y (0.168, 0.500, 0.576)
Te (0.000, 0.500, 0.500)
Te (0.167, 0.000, 0.834)
Pb (0.166, 0.000, 0.330)
Se (0.000, 0.500, 0.000)